Entry from Alexandria via LeMat-Bulk: a relaxed structure of La2GaSn2 (PBE).

Properties
polymorph energy (0 for the lowest one): 126 kJ/mol of formula units

Cell lengths 8.363, 8.363, 4.582 Å; angles 90.00, 90.00, 90.00 degrees
Space group P4/mbm (No. 127)
Asymmetric unit:
La  0.175  0.325  0.000 [4 per cell]
Ga  0.000  0.000  0.000 [2 per cell]
Sn  0.126  0.626  0.500 [4 per cell]



Entry from Alexandria via LeMat-Bulk: a relaxed structure of La5Ga2Sn (PBE).

Cell lengths 8.399, 8.399, 14.041 Å; angles 90.00, 90.00, 90.00 degrees
Space group I4/mcm (No. 140)
Asymmetric unit:
La  0.000  0.000  0.000 [4 per cell]
La  0.171  0.329  0.147 [16 per cell]
Ga  0.122  0.378  0.500 [8 per cell]
Sn  0.000  0.000  0.250 [4 per cell]



Entry from Alexandria via LeMat-Bulk: a relaxed structure of La2Ga6Sn (PBE).

Cell lengths 6.2290, 6.2290, 5.8909 Å; angles 90.00, 90.00, 120.00 degrees
Space group P-3m1 (No. 164)
Asymmetric unit:
La  0.3333  0.6667  0.3549 [2 per cell]
Ga  0.1856  0.3713  0.8476 [6 per cell]
Sn  0.0000  0.0000  0.5000 [1 per cell]



Entry from Alexandria via LeMat-Bulk: a relaxed structure of La3GaSn (PBE).

Properties
polymorph energy (0 for the lowest one): 0 kJ/mol of formula units

Cell lengths 10.076, 6.652, 11.219 Å; angles 90.00, 122.46, 90.00 degrees
Space group P2_1/c (No. 14)
Asymmetric unit:
La  0.047  0.019  0.290 [4 per cell]
La  0.290  0.182  0.679 [4 per cell]
La  0.386  0.702  0.918 [4 per cell]
Ga  0.282  0.112  0.941 [4 per cell]
Sn  0.147  0.684  0.559 [4 per cell]



Entry from Alexandria via LeMat-Bulk: a relaxed structure of LaGa2Sn (PBE).

Cell lengths 8.084, 8.084, 6.449 Å; angles 90.00, 90.00, 90.00 degrees
Space group I-42d (No. 122)
Asymmetric unit:
La  0.000  0.000  0.000 [4 per cell]
Ga  0.215  0.750  0.625 [8 per cell]
Sn  0.000  0.000  0.500 [4 per cell]



Entry from Alexandria via LeMat-Bulk: a relaxed structure of La8Ga2Sn (PBE).

Cell lengths 17.888, 4.972, 8.257 Å; angles 90.00, 111.26, 90.00 degrees
Space group C2/m (No. 12)
Asymmetric unit:
La  0.052  0.000  0.242 [4 per cell]
La  0.110  0.500  0.944 [4 per cell]
La  0.161  0.000  0.751 [4 per cell]
La  0.172  0.500  0.427 [4 per cell]
Ga  0.217  0.000  0.176 [4 per cell]
Sn  0.000  0.500  0.500 [2 per cell]



Entry from Alexandria via LeMat-Bulk: a relaxed structure of La4GaSn (PBE).

Properties
polymorph energy (0 for the lowest one): 0 kJ/mol of formula units

Cell lengths 14.642, 14.642, 14.642 Å; angles 90.00, 90.00, 90.00 degrees
Space group F-43m (No. 216)
Asymmetric unit:
La  0.000  0.000  0.189 [24 per cell]
La  0.046  0.250  0.250 [24 per cell]
La  0.110  0.110  0.610 [16 per cell]
Ga  0.109  0.109  0.391 [16 per cell]
Sn  0.163  0.163  0.837 [16 per cell]



Entry from Alexandria via LeMat-Bulk: a relaxed structure of LaGaSn3 (PBE).

Properties
polymorph energy (0 for the lowest one): 169 kJ/mol of formula units

Cell lengths 5.339, 5.339, 5.339 Å; angles 90.00, 90.00, 90.00 degrees
Space group Pm-3m (No. 221)
Asymmetric unit:
La  0.000  0.000  0.000 [1 per cell]
Ga  0.500  0.500  0.500 [1 per cell]
Sn  0.000  0.500  0.500 [3 per cell]



Values for total magnetization, μB per cell, ordered as above
0.0, 0.0, 0.0, 0.0, 0.0, 0.0, 0.0, 0.0
Values for electronic total energy, eV per cell, ordered as above
-46.391, -156.645, -36.496, -95.540, -65.383, -107.120, -469.273, -20.034
Values for energy relative to the elements, meV per atom, ordered as above
-462, -558, -497, -415, -340, -371, -432, -14